Record 1
The following is a DFT calculation (PBE-GGA) of a relaxed CuPb3Br crystal.

Properties
For the formation energy without anion corrections, the calculation gives 62 kJ/mol of formula units. For the distance to the lowest polymorph of the same formula, the calculation gives 0 meV/atom. The value obtained for the total magnetization is 0.00 μB/f.u.

Lattice parameters (Å, degrees): 5.3652 5.3652 5.3652 90.00 90.00 90.00
Fractional coordinates of all 5 atoms:
Cu 0.0000 0.0000 0.0000
Br 0.5000 0.5000 0.5000
Pb 0.0000 0.0000 0.5000
Pb 0.5000 0.0000 0.0000
Pb 0.0000 0.5000 0.0000

***

Record 2
The following is a DFT calculation (PBE-GGA) of a relaxed CuPb2Br crystal.

Properties
For the formation energy without anion corrections, the calculation gives 52 kJ/mol of formula units. For the distance to the lowest polymorph of the same formula, the calculation gives 219 meV/atom. The value obtained for the total magnetization is 0.00 μB/f.u.

Lattice parameters (Å, degrees): 5.5627 5.5627 3.3935 90.00 90.00 94.90
Fractional coordinates of all 4 atoms:
Cu 0.0000 0.5000 0.5000
Pb 0.5000 0.5000 0.0000
Br 0.5000 0.0000 0.5000
Pb 0.0000 0.0000 0.0000

***

Record 3
The following is a DFT calculation (PBE-GGA) of a relaxed Cu2PbBr crystal.

Properties
For the formation energy without anion corrections, the calculation gives 146 kJ/mol of formula units. For the distance to the lowest polymorph of the same formula, the calculation gives 318 meV/atom. The value obtained for the total magnetization is 0.00 μB/f.u.

Lattice parameters (Å, degrees): 4.9418 4.9418 3.5939 90.00 90.00 106.76
Fractional coordinates of all 4 atoms:
Cu 0.0000 0.0000 0.0000
Cu 0.5000 0.5000 0.0000
Pb 0.5000 0.0000 0.5000
Br 0.0000 0.5000 0.5000

***

Record 4
The following is a DFT calculation (PBE-GGA) of a relaxed CuPb2Br crystal.

Properties
For the formation energy without anion corrections, the calculation gives -4 kJ/mol of formula units. For the distance to the lowest polymorph of the same formula, the calculation gives 75 meV/atom. The value obtained for the total magnetization is 0.00 μB/f.u.

Lattice parameters (Å, degrees): 3.5380 3.5380 8.2097 90.00 90.00 89.97
Fractional coordinates of all 4 atoms:
Pb 0.0000 0.0000 0.5364
Cu 0.5000 0.5000 0.7500
Br 0.5000 0.5000 0.2500
Pb 0.0000 0.0000 0.9636

***

Record 5
The following is a DFT calculation (PBE-GGA) of a relaxed Cu2PbBr crystal.

Properties
For the formation energy without anion corrections, the calculation gives 125 kJ/mol of formula units. For the distance to the lowest polymorph of the same formula, the calculation gives 264 meV/atom. The value obtained for the total magnetization is 0.00 μB/f.u.

Lattice parameters (Å, degrees): 3.4077 3.4077 7.0777 90.00 90.00 90.00
Fractional coordinates of all 4 atoms:
Cu 0.0000 0.0000 0.9960
Cu 0.0000 0.0000 0.5040
Br 0.5000 0.5000 0.7500
Pb 0.5000 0.5000 0.2500

***

Record 6
The following is a DFT calculation (PBE-GGA) of a relaxed Cu2Pb4Br crystal.

Properties
For the formation energy without anion corrections, the calculation gives 287 kJ/mol of formula units. The value obtained for the total magnetization is 0.00 μB/f.u.

Lattice parameters (Å, degrees): 5.6764 5.6764 8.2261 69.82 69.82 90.00
Fractional coordinates of all 7 atoms:
Cu 0.5815 0.5815 0.8370
Br 0.0000 0.0000 0.0000
Pb 0.2391 0.2391 0.5217
Pb 0.5000 0.0000 0.0000
Pb 0.7609 0.7609 0.4783
Pb 0.0000 0.5000 0.0000
Cu 0.4185 0.4185 0.1630

***

Record 7
The following is a DFT calculation (PBE-GGA) of a relaxed Cu4PbBr crystal.

Properties
For the formation energy without anion corrections, the calculation gives 148 kJ/mol of formula units. The value obtained for the total magnetization is 0.00 μB/f.u.

Lattice parameters (Å, degrees): 5.2438 5.2438 5.2438 60.00 60.00 60.00
Fractional coordinates of all 6 atoms:
Cu 0.3750 0.3750 0.3750
Cu 0.3750 0.8751 0.3750
Br 0.0000 0.0000 0.0000
Cu 0.3750 0.3750 0.8751
Pb 0.7500 0.7500 0.7500
Cu 0.8751 0.3750 0.3750

***

Record 8
The following is a DFT calculation (PBE-GGA) of a relaxed CuPb2Br crystal.

Properties
For the formation energy without anion corrections, the calculation gives 34 kJ/mol of formula units. For the distance to the lowest polymorph of the same formula, the calculation gives 172 meV/atom. The value obtained for the total magnetization is 0.00 μB/f.u.

Lattice parameters (Å, degrees): 5.9697 5.9697 5.9697 142.66 122.47 70.62
Fractional coordinates of all 4 atoms:
Pb 0.0378 0.0378 0.0000
Br 0.7500 0.2500 0.5000
Pb 0.4622 0.4622 0.0000
Cu 0.2500 0.7500 0.5000

***

The highest formation energy without anion corrections belongs to which entry?
Cu2Pb4Br

***

The highest formation energy without anion corrections belongs to which entry?
Cu2Pb4Br

***

The highest formation energy without anion corrections belongs to which entry?
Cu2Pb4Br